# TaSnB3 | Alexandria via LeMat-Bulk | GGA-PBE | optimized geometry
# Symmetry = Pm-3m
# Offset from the most stable computed form = 1168 meV/atom
# Total magnetic moment = 0.00 μB/cell
# Density = 6991 kg/m3
# Energy of formation from the pure elements = 12.15 eV per formula unit
data_TaSnB3
_chemical_formula_sum 'Ta1 Sn1 B3'
_cell_length_a 4.289
_cell_length_b 4.289
_cell_length_c 4.289
_cell_angle_alpha 90.00
_cell_angle_beta 90.00
_cell_angle_gamma 90.00
_symmetry_space_group_name_H-M 'P 1'
_symmetry_Int_Tables_number 1
loop_
_symmetry_equiv_pos_as_xyz
'x,y,z'
loop_
_atom_site_label
_atom_site_type_symbol
_atom_site_fract_x
_atom_site_fract_y
_atom_site_fract_z
_atom_site_occupancy
Ta1 Ta 0.000 0.000 0.000 1
Sn1 Sn 0.500 0.500 0.500 1
B1 B 0.000 0.500 0.500 1
B2 B 0.500 0.000 0.500 1
B3 B 0.500 0.500 0.000 1

# Ta2CdRuI | Alexandria via LeMat-Bulk | GGA-PBE | optimized geometry
# Symmetry = P4/mmm
# Total magnetic moment = 0.81 μB/cell
# ΔE_f (raw) = 0.9794 eV/atom
# Density = 9354 kg/m3
data_Ta2CdRuI
_chemical_formula_sum 'Ta2 Cd1 Ru1 I1'
_cell_length_a 4.844
_cell_length_b 4.844
_cell_length_c 5.313
_cell_angle_alpha 90.00
_cell_angle_beta 90.00
_cell_angle_gamma 90.00
_symmetry_space_group_name_H-M 'P 1'
_symmetry_Int_Tables_number 1
loop_
_symmetry_equiv_pos_as_xyz
'x,y,z'
loop_
_atom_site_label
_atom_site_type_symbol
_atom_site_fract_x
_atom_site_fract_y
_atom_site_fract_z
_atom_site_occupancy
Ta1 Ta 0.000 0.500 0.000 1
Ta2 Ta 0.500 0.000 0.000 1
Cd1 Cd 0.000 0.000 0.500 1
Ru1 Ru 0.000 0.000 0.000 1
I1 I 0.500 0.500 0.500 1

# LiCd2Pb | Alexandria via LeMat-Bulk | GGA-PBE | optimized geometry
# Symmetry = P4mm
# Total magnetic moment = 0.00 μB/cell
# Density = 7901 kg/m3
# Energy of formation from the pure elements = -0.48 eV per formula unit
data_LiCd2Pb
_chemical_formula_sum 'Li1 Cd2 Pb1'
_cell_length_a 3.599
_cell_length_b 3.599
_cell_length_c 7.123
_cell_angle_alpha 90.00
_cell_angle_beta 90.00
_cell_angle_gamma 90.00
_symmetry_space_group_name_H-M 'P 1'
_symmetry_Int_Tables_number 1
loop_
_symmetry_equiv_pos_as_xyz
'x,y,z'
loop_
_atom_site_label
_atom_site_type_symbol
_atom_site_fract_x
_atom_site_fract_y
_atom_site_fract_z
_atom_site_occupancy
Li1 Li 0.000 0.000 0.000 1
Cd1 Cd 0.000 0.000 0.557 1
Cd2 Cd 0.500 0.500 0.796 1
Pb1 Pb 0.500 0.500 0.258 1

# Ba4CrOs | Alexandria via LeMat-Bulk | GGA-PBE | optimized geometry
# Symmetry = F-43m
# Total magnetic moment = 5.41 μB/cell
# Density = 5881 kg/m3
# Energy of formation from the pure elements = 9.00 eV per formula unit
data_Ba4CrOs
_chemical_formula_sum 'Ba4 Cr1 Os1'
_cell_length_a 6.812
_cell_length_b 6.812
_cell_length_c 6.812
_cell_angle_alpha 60.00
_cell_angle_beta 60.00
_cell_angle_gamma 60.00
_symmetry_space_group_name_H-M 'P 1'
_symmetry_Int_Tables_number 1
loop_
_symmetry_equiv_pos_as_xyz
'x,y,z'
loop_
_atom_site_label
_atom_site_type_symbol
_atom_site_fract_x
_atom_site_fract_y
_atom_site_fract_z
_atom_site_occupancy
Ba1 Ba 0.376 0.376 0.376 1
Ba2 Ba 0.376 0.376 0.872 1
Ba3 Ba 0.376 0.872 0.376 1
Ba4 Ba 0.872 0.376 0.376 1
Cr1 Cr 0.000 0.000 0.000 1
Os1 Os 0.750 0.750 0.750 1

# Ag2IrI | Alexandria via LeMat-Bulk | GGA-PBE | optimized geometry
# Symmetry = Fm-3m
# Offset from the most stable computed form = 184 meV/atom
# Total magnetic moment = 0.00 μB/cell
# ΔE_f (raw) = 0.9498 eV/atom
# Density = 11076 kg/m3
data_Ag2IrI
_chemical_formula_sum 'Ag2 Ir1 I1'
_cell_length_a 4.840
_cell_length_b 4.840
_cell_length_c 4.840
_cell_angle_alpha 60.00
_cell_angle_beta 60.00
_cell_angle_gamma 60.00
_symmetry_space_group_name_H-M 'P 1'
_symmetry_Int_Tables_number 1
loop_
_symmetry_equiv_pos_as_xyz
'x,y,z'
loop_
_atom_site_label
_atom_site_type_symbol
_atom_site_fract_x
_atom_site_fract_y
_atom_site_fract_z
_atom_site_occupancy
Ag1 Ag 0.250 0.250 0.250 1
Ag2 Ag 0.750 0.750 0.750 1
Ir1 Ir 0.000 0.000 0.000 1
I1 I 0.500 0.500 0.500 1

# Pm3DyEr2S6 | Alexandria via LeMat-Bulk | GGA-PBE | optimized geometry
# Symmetry = C2/m
# Total magnetic moment = 0.00 μB/cell
# ΔE_f (raw) = -2.0089 eV/atom
# Density = 7111 kg/m3
data_Pm3DyEr2S6
_chemical_formula_sum 'Pm3 Dy1 Er2 S6'
_cell_length_a 6.818
_cell_length_b 6.818
_cell_length_c 6.919
_cell_angle_alpha 99.43
_cell_angle_beta 99.43
_cell_angle_gamma 120.18
_symmetry_space_group_name_H-M 'P 1'
_symmetry_Int_Tables_number 1
loop_
_symmetry_equiv_pos_as_xyz
'x,y,z'
loop_
_atom_site_label
_atom_site_type_symbol
_atom_site_fract_x
_atom_site_fract_y
_atom_site_fract_z
_atom_site_occupancy
Pm1 Pm 0.000 0.000 0.000 1
Pm2 Pm 0.334 0.666 0.000 1
Pm3 Pm 0.666 0.334 0.000 1
Dy1 Dy 0.500 0.500 0.500 1
Er1 Er 0.167 0.833 0.500 1
Er2 Er 0.833 0.167 0.500 1
S1 S 0.086 0.422 0.265 1
S2 S 0.242 0.242 0.734 1
S3 S 0.422 0.086 0.265 1
S4 S 0.578 0.914 0.735 1
S5 S 0.758 0.758 0.266 1
S6 S 0.914 0.578 0.735 1

# AlAgAu2Se4 | Alexandria via LeMat-Bulk | GGA-PBE | optimized geometry
# Symmetry = I222
# Total magnetic moment = 0.00 μB/cell
# ΔE_f (raw) = -0.2160 eV/atom
# Density = 6089 kg/m3
data_AlAgAu2Se4
_chemical_formula_sum 'Al1 Ag1 Au2 Se4'
_cell_length_a 7.529
_cell_length_b 7.529
_cell_length_c 7.529
_cell_angle_alpha 138.40
_cell_angle_beta 123.88
_cell_angle_gamma 72.23
_symmetry_space_group_name_H-M 'P 1'
_symmetry_Int_Tables_number 1
loop_
_symmetry_equiv_pos_as_xyz
'x,y,z'
loop_
_atom_site_label
_atom_site_type_symbol
_atom_site_fract_x
_atom_site_fract_y
_atom_site_fract_z
_atom_site_occupancy
Al1 Al 0.000 0.000 0.000 1
Ag1 Ag 0.500 0.000 0.500 1
Au1 Au 0.228 0.500 0.728 1
Au2 Au 0.772 0.500 0.272 1
Se1 Se 0.105 0.018 0.388 1
Se2 Se 0.369 0.982 0.087 1
Se3 Se 0.631 0.718 0.612 1
Se4 Se 0.895 0.282 0.913 1

# NiRh5Se8 | Alexandria via LeMat-Bulk | GGA-PBE | optimized geometry
# Symmetry = F-43m
# Total magnetic moment = 0.00 μB/cell
# ΔE_f (raw) = -0.3842 eV/atom
# Density = 7257 kg/m3
data_NiRh5Se8
_chemical_formula_sum 'Ni1 Rh5 Se8'
_cell_length_a 7.305
_cell_length_b 7.305
_cell_length_c 7.305
_cell_angle_alpha 60.00
_cell_angle_beta 60.00
_cell_angle_gamma 60.00
_symmetry_space_group_name_H-M 'P 1'
_symmetry_Int_Tables_number 1
loop_
_symmetry_equiv_pos_as_xyz
'x,y,z'
loop_
_atom_site_label
_atom_site_type_symbol
_atom_site_fract_x
_atom_site_fract_y
_atom_site_fract_z
_atom_site_occupancy
Ni1 Ni 0.000 0.000 0.000 1
Rh1 Rh 0.119 0.627 0.627 1
Rh2 Rh 0.250 0.250 0.250 1
Rh3 Rh 0.627 0.119 0.627 1
Rh4 Rh 0.627 0.627 0.119 1
Rh5 Rh 0.627 0.627 0.627 1
Se1 Se 0.384 0.384 0.384 1
Se2 Se 0.384 0.384 0.848 1
Se3 Se 0.384 0.848 0.384 1
Se4 Se 0.391 0.870 0.870 1
Se5 Se 0.848 0.384 0.384 1
Se6 Se 0.870 0.391 0.870 1
Se7 Se 0.870 0.870 0.391 1
Se8 Se 0.870 0.870 0.870 1

# Tb3SmIn3Te8 | Alexandria via LeMat-Bulk | GGA-PBE | optimized geometry
# Symmetry = R-3m
# Total magnetic moment = 0.00 μB/cell
# ΔE_f (raw) = -1.0112 eV/atom
# Density = 6240 kg/m3
data_Tb3SmIn3Te8
_chemical_formula_sum 'Tb3 Sm1 In3 Te8'
_cell_length_a 9.376
_cell_length_b 9.376
_cell_length_c 9.376
_cell_angle_alpha 56.11
_cell_angle_beta 56.11
_cell_angle_gamma 56.11
_symmetry_space_group_name_H-M 'P 1'
_symmetry_Int_Tables_number 1
loop_
_symmetry_equiv_pos_as_xyz
'x,y,z'
loop_
_atom_site_label
_atom_site_type_symbol
_atom_site_fract_x
_atom_site_fract_y
_atom_site_fract_z
_atom_site_occupancy
Tb1 Tb 0.000 0.500 0.500 1
Tb2 Tb 0.500 0.000 0.500 1
Tb3 Tb 0.500 0.500 0.000 1
Sm1 Sm 0.000 0.000 0.000 1
In1 In 0.000 0.000 0.500 1
In2 In 0.000 0.500 0.000 1
In3 In 0.500 0.000 0.000 1
Te1 Te 0.245 0.245 0.737 1
Te2 Te 0.245 0.737 0.245 1
Te3 Te 0.258 0.258 0.258 1
Te4 Te 0.263 0.755 0.755 1
Te5 Te 0.737 0.245 0.245 1
Te6 Te 0.742 0.742 0.742 1
Te7 Te 0.755 0.263 0.755 1
Te8 Te 0.755 0.755 0.263 1

# K2AlPt | Alexandria via LeMat-Bulk | GGA-PBE | optimized geometry
# Symmetry = Pmmm
# Total magnetic moment = 0.00 μB/cell
# Density = 4996 kg/m3
# Energy of formation from the pure elements = 1.22 eV per formula unit
data_K2AlPt
_chemical_formula_sum 'K2 Al1 Pt1'
_cell_length_a 3.139
_cell_length_b 5.402
_cell_length_c 5.885
_cell_angle_alpha 90.00
_cell_angle_beta 90.00
_cell_angle_gamma 90.00
_symmetry_space_group_name_H-M 'P 1'
_symmetry_Int_Tables_number 1
loop_
_symmetry_equiv_pos_as_xyz
'x,y,z'
loop_
_atom_site_label
_atom_site_type_symbol
_atom_site_fract_x
_atom_site_fract_y
_atom_site_fract_z
_atom_site_occupancy
K1 K 0.000 0.000 0.239 1
K2 K 0.000 0.000 0.761 1
Al1 Al 0.500 0.500 0.500 1
Pt1 Pt 0.500 0.500 0.000 1

# Tb6PmTm3 | Alexandria via LeMat-Bulk | GGA-PBE | optimized geometry
# Symmetry = Cmc2_1
# Offset from the most stable computed form = 25 meV/atom
# Total magnetic moment = 0.00 μB/cell
# Density = 8302 kg/m3
# Energy of formation from the pure elements = 1.51 eV per formula unit
data_Tb6PmTm3
_chemical_formula_sum 'Tb12 Pm2 Tm6'
_cell_length_a 10.943
_cell_length_b 10.943
_cell_length_c 6.178
_cell_angle_alpha 90.00
_cell_angle_beta 90.00
_cell_angle_gamma 119.76
_symmetry_space_group_name_H-M 'P 1'
_symmetry_Int_Tables_number 1
loop_
_symmetry_equiv_pos_as_xyz
'x,y,z'
loop_
_atom_site_label
_atom_site_type_symbol
_atom_site_fract_x
_atom_site_fract_y
_atom_site_fract_z
_atom_site_occupancy
Tb1 Tb 0.044 0.464 0.952 1
Tb2 Tb 0.046 0.954 0.500 1
Tb3 Tb 0.282 0.718 0.233 1
Tb4 Tb 0.290 0.380 0.123 1
Tb5 Tb 0.380 0.290 0.623 1
Tb6 Tb 0.464 0.044 0.452 1
Tb7 Tb 0.536 0.956 0.952 1
Tb8 Tb 0.620 0.710 0.123 1
Tb9 Tb 0.710 0.620 0.623 1
Tb10 Tb 0.718 0.282 0.733 1
Tb11 Tb 0.954 0.046 0.000 1
Tb12 Tb 0.956 0.536 0.452 1
Pm1 Pm 0.205 0.795 0.734 1
Pm2 Pm 0.795 0.205 0.234 1
Tm1 Tm 0.063 0.282 0.545 1
Tm2 Tm 0.282 0.063 0.045 1
Tm3 Tm 0.389 0.611 0.663 1
Tm4 Tm 0.611 0.389 0.163 1
Tm5 Tm 0.718 0.937 0.545 1
Tm6 Tm 0.937 0.718 0.045 1

# InCu2Te | Alexandria via LeMat-Bulk | GGA-PBE | optimized geometry
# Symmetry = Immm
# Offset from the most stable computed form = 192 meV/atom
# Total magnetic moment = 0.00 μB/cell
# ΔE_f (raw) = 0.2467 eV/atom
# Density = 7378 kg/m3
data_InCu2Te
_chemical_formula_sum 'In1 Cu2 Te1'
_cell_length_a 4.876
_cell_length_b 4.876
_cell_length_c 4.876
_cell_angle_alpha 125.19
_cell_angle_beta 109.19
_cell_angle_gamma 95.45
_symmetry_space_group_name_H-M 'P 1'
_symmetry_Int_Tables_number 1
loop_
_symmetry_equiv_pos_as_xyz
'x,y,z'
loop_
_atom_site_label
_atom_site_type_symbol
_atom_site_fract_x
_atom_site_fract_y
_atom_site_fract_z
_atom_site_occupancy
In1 In 0.000 0.000 0.000 1
Cu1 Cu 0.211 0.711 0.500 1
Cu2 Cu 0.789 0.289 0.500 1
Te1 Te 0.500 0.500 0.000 1

Look up the density of the twelfth one. 7378 kg/m3

Among the records above, which one has the highest total magnetic moment? Ba4CrOs

Copy entry 1 word for word.
# TaSnB3 | Alexandria via LeMat-Bulk | GGA-PBE | optimized geometry
# Symmetry = Pm-3m
# Offset from the most stable computed form = 1168 meV/atom
# Total magnetic moment = 0.00 μB/cell
# Density = 6991 kg/m3
# Energy of formation from the pure elements = 12.15 eV per formula unit
data_TaSnB3
_chemical_formula_sum 'Ta1 Sn1 B3'
_cell_length_a 4.289
_cell_length_b 4.289
_cell_length_c 4.289
_cell_angle_alpha 90.00
_cell_angle_beta 90.00
_cell_angle_gamma 90.00
_symmetry_space_group_name_H-M 'P 1'
_symmetry_Int_Tables_number 1
loop_
_symmetry_equiv_pos_as_xyz
'x,y,z'
loop_
_atom_site_label
_atom_site_type_symbol
_atom_site_fract_x
_atom_site_fract_y
_atom_site_fract_z
_atom_site_occupancy
Ta1 Ta 0.000 0.000 0.000 1
Sn1 Sn 0.500 0.500 0.500 1
B1 B 0.000 0.500 0.500 1
B2 B 0.500 0.000 0.500 1
B3 B 0.500 0.500 0.000 1

The highest total magnetic moment belongs to which entry? Ba4CrOs